KSbS2 after structural relaxation. Source: Alexandria via LeMat-Bulk, functional PBE.

a b c (Å): 4.0485 4.0485 22.6164
angles (deg): 90.00 90.00 120.00
Space group R3m (No. 160, hexagonal axes)
Unique sites:
K 0.0000 0.0000 0.0000
Sb 0.0000 0.0000 0.1686
S 0.0000 0.0000 0.5702
S 0.0000 0.0000 0.7669

Computed properties:
- Uncorrected formation energy: -0.669 eV/atom
- Density: 3.5 g cm⁻³
- Crystal system: trigonal
- Final energy: -4.038 eV/atom

Ac4HIrI2 after structural relaxation. Source: Alexandria via LeMat-Bulk, functional PBE.

a b c (Å): 7.321 4.341 8.957
angles (deg): 90.00 105.89 90.00
Space group P2/m (No. 10)
Unique sites:
Ac 0.232 0.000 0.190
Ac 0.264 0.500 0.819
H 0.000 0.500 0.000
Ir 0.500 0.000 0.000
I 0.000 0.000 0.500
I 0.500 0.500 0.500

Computed properties:
- Density: 8.2 g cm⁻³
- Crystal system: monoclinic
- Final energy: -4.768 eV/atom

Cs2IrSeF6 after structural relaxation. Source: Alexandria via LeMat-Bulk, functional PBE.

a b c (Å): 6.143 6.143 10.856
angles (deg): 90.00 90.00 90.00
Space group I4/mmm (No. 139)
Unique sites:
Cs 0.000 0.500 0.250
Ir 0.000 0.000 0.000
Se 0.000 0.000 0.500
F 0.000 0.000 0.186
F 0.238 0.238 0.000

Computed properties:
- Uncorrected formation energy: -1.681 eV/atom
- Density: 5.3 g cm⁻³
- Crystal system: tetragonal
- Final energy: -4.209 eV/atom

CaNd2Zn9 after structural relaxation. Source: Alexandria via LeMat-Bulk, functional PBE.

a b c (Å): 5.5560 5.5560 26.1110
angles (deg): 90.00 90.00 120.00
Space group R-3m (No. 166, hexagonal axes)
Unique sites:
Ca 0.0000 0.0000 0.0000
Nd 0.0000 0.0000 0.1405
Zn 0.0000 0.0000 0.3347
Zn 0.0000 0.0000 0.5000
Zn 0.0039 0.5020 0.9186

Computed properties:
- Formation enthalpy at 0 K: -0.26 eV/atom
- Density: 6.5 g cm⁻³
- Crystal system: trigonal
- Final energy: -2.180 eV/atom

> Among the records above, which one has the highest density?

Ac4HIrI2

Repeat the third record exactly.
Cs2IrSeF6 after structural relaxation. Source: Alexandria via LeMat-Bulk, functional PBE.

a b c (Å): 6.143 6.143 10.856
angles (deg): 90.00 90.00 90.00
Space group I4/mmm (No. 139)
Unique sites:
Cs 0.000 0.500 0.250
Ir 0.000 0.000 0.000
Se 0.000 0.000 0.500
F 0.000 0.000 0.186
F 0.238 0.238 0.000

Computed properties:
- Uncorrected formation energy: -1.681 eV/atom
- Density: 5.3 g cm⁻³
- Crystal system: tetragonal
- Final energy: -4.209 eV/atom

Repeat the second record exactly.
Ac4HIrI2 after structural relaxation. Source: Alexandria via LeMat-Bulk, functional PBE.

a b c (Å): 7.321 4.341 8.957
angles (deg): 90.00 105.89 90.00
Space group P2/m (No. 10)
Unique sites:
Ac 0.232 0.000 0.190
Ac 0.264 0.500 0.819
H 0.000 0.500 0.000
Ir 0.500 0.000 0.000
I 0.000 0.000 0.500
I 0.500 0.500 0.500

Computed properties:
- Density: 8.2 g cm⁻³
- Crystal system: monoclinic
- Final energy: -4.768 eV/atom